(1)
# Li4PrMg8, optimized geometry, DFT GGA-PBE
# - crystal system = tetragonal
# - energy relative to the elements (meV/atom) = -68
data_Li4PrMg8
_chemical_formula_sum 'Li8 Pr2 Mg16'
_space_group_name_H-M_alt 'I 4/m m m'
_space_group_IT_number 139
_space_group_name_Hall '-I 4 2'
_cell_length_a 10.4017
_cell_length_b 10.4017
_cell_length_c 5.4116
_cell_angle_alpha 90.00
_cell_angle_beta 90.00
_cell_angle_gamma 90.00
loop_
_atom_site_label
_atom_site_fract_x
_atom_site_fract_y
_atom_site_fract_z
_atom_site_occupancy
Li1 0.2500 0.2500 0.2500 1
Pr1 0.0000 0.0000 0.0000 1
Mg1 0.0000 0.2139 0.5000 1
Mg2 0.0000 0.3537 0.0000 1



(2)
# LiPrMg, optimized geometry, DFT GGA-PBE
# - crystal system = tetragonal
# - energy relative to the elements (meV/atom) = -27
# - E above lowest polymorph (meV/atom) = 0.0
data_LiPrMg
_chemical_formula_sum 'Li2 Pr2 Mg2'
_space_group_name_H-M_alt 'P 4/n m m'
_space_group_IT_number 129
_cell_length_a 3.5575
_cell_length_b 3.5575
_cell_length_c 12.5344
_cell_angle_alpha 90.00
_cell_angle_beta 90.00
_cell_angle_gamma 90.00
loop_
_space_group_symop_operation_xyz
'x,y,z'
'-x,-y,-z'
'-y+1/2,x,z'
'y+1/2,-x,-z'
'-x+1/2,-y+1/2,z'
'x+1/2,y+1/2,-z'
'y,-x+1/2,z'
'-y,x+1/2,-z'
'x+1/2,-y,-z'
'-x+1/2,y,z'
'-y,-x,-z'
'y,x,z'
'-x,y+1/2,-z'
'x,-y+1/2,z'
'y+1/2,x+1/2,-z'
'-y+1/2,-x+1/2,z'
loop_
_atom_site_label
_atom_site_fract_x
_atom_site_fract_y
_atom_site_fract_z
_atom_site_occupancy
Li1 0.2500 0.2500 0.0652 1
Pr1 0.2500 0.2500 0.3905 1
Mg1 0.2500 0.2500 0.8030 1



(3)
# LiPr2Mg16, optimized geometry, DFT GGA-PBE
# - crystal system = trigonal
# - energy relative to the elements (meV/atom) = -59
data_LiPr2Mg16
_chemical_formula_sum 'Li3 Pr6 Mg48'
_space_group_name_H-M_alt 'R 3 m'
_space_group_IT_number 160
_space_group_name_Hall 'R 3 -2"'
_cell_length_a 10.2937
_cell_length_b 10.2937
_cell_length_c 15.2197
_cell_angle_alpha 90.00
_cell_angle_beta 90.00
_cell_angle_gamma 120.00
loop_
_atom_site_label
_atom_site_fract_x
_atom_site_fract_y
_atom_site_fract_z
_atom_site_occupancy
Li1 0.0000 0.0000 0.0000 1
Pr1 0.0000 0.0000 0.4289 1
Pr2 0.0000 0.0000 0.7659 1
Mg1 0.0000 0.0000 0.1948 1
Mg2 0.0000 0.3006 0.0975 1
Mg3 0.0056 0.5028 0.5972 1
Mg4 0.0086 0.5043 0.2490 1
Mg5 0.1699 0.3398 0.2795 1



(4)
# Li17PrMg, optimized geometry, DFT GGA-PBE
# - crystal system = trigonal
# - energy relative to the elements (meV/atom) = 65
data_Li17PrMg
_chemical_formula_sum 'Li51 Pr3 Mg3'
_space_group_name_H-M_alt 'R 3 m'
_space_group_IT_number 160
_space_group_name_Hall 'R 3 -2"'
_cell_length_a 9.5717
_cell_length_b 9.5717
_cell_length_c 15.1565
_cell_angle_alpha 90.00
_cell_angle_beta 90.00
_cell_angle_gamma 120.00
loop_
_atom_site_label
_atom_site_fract_x
_atom_site_fract_y
_atom_site_fract_z
_atom_site_occupancy
Li1 0.0000 0.0000 0.0559 1
Li2 0.0000 0.0000 0.2364 1
Li3 0.0091 0.3112 0.1430 1
Li4 0.0406 0.5203 0.6359 1
Li5 0.0512 0.5256 0.0000 1
Li6 0.0776 0.5388 0.2885 1
Pr1 0.0000 0.0000 0.8045 1
Mg1 0.0000 0.0000 0.4647 1



(5)
# Li2Pr3Mg3, optimized geometry, DFT GGA-PBE
# - crystal system = trigonal
# - energy relative to the elements (meV/atom) = 4
data_Li2Pr3Mg3
_chemical_formula_sum 'Li6 Pr9 Mg9'
_space_group_name_H-M_alt 'R 3 m'
_space_group_IT_number 160
_space_group_name_Hall 'R 3 -2"'
_cell_length_a 5.3840
_cell_length_b 5.3840
_cell_length_c 26.3549
_cell_angle_alpha 90.00
_cell_angle_beta 90.00
_cell_angle_gamma 120.00
loop_
_atom_site_label
_atom_site_fract_x
_atom_site_fract_y
_atom_site_fract_z
_atom_site_occupancy
Li1 0.0000 0.0000 0.0000 1
Li2 0.0000 0.0000 0.4918 1
Pr1 0.0000 0.0000 0.3692 1
Pr2 0.0000 0.0000 0.6190 1
Pr3 0.0000 0.0000 0.8694 1
Mg1 0.0000 0.0000 0.1193 1
Mg2 0.0000 0.0000 0.2391 1
Mg3 0.0000 0.0000 0.7466 1



(6)
# LiPrMg6, optimized geometry, DFT GGA-PBE
# - crystal system = tetragonal
# - energy relative to the elements (meV/atom) = 98
data_LiPrMg6
_chemical_formula_sum 'Li1 Pr1 Mg6'
_space_group_name_H-M_alt 'P 4/m m m'
_space_group_IT_number 123
_space_group_name_Hall '-P 4 2'
_cell_length_a 4.5935
_cell_length_b 4.5935
_cell_length_c 9.8831
_cell_angle_alpha 90.00
_cell_angle_beta 90.00
_cell_angle_gamma 90.00
loop_
_atom_site_label
_atom_site_fract_x
_atom_site_fract_y
_atom_site_fract_z
_atom_site_occupancy
Li1 0.0000 0.0000 0.0000 1
Pr1 0.0000 0.0000 0.5000 1
Mg1 0.0000 0.5000 0.1693 1
Mg2 0.5000 0.5000 0.3615 1



(7)
# Li5Pr2Mg3, optimized geometry, DFT GGA-PBE
# - crystal system = orthorhombic
# - energy relative to the elements (meV/atom) = 65
data_Li5Pr2Mg3
_chemical_formula_sum 'Li20 Pr8 Mg12'
_space_group_name_H-M_alt 'I b a m'
_space_group_IT_number 72
_space_group_name_Hall '-I 2 2c'
_cell_length_a 11.9808
_cell_length_b 14.0634
_cell_length_c 5.8692
_cell_angle_alpha 90.00
_cell_angle_beta 90.00
_cell_angle_gamma 90.00
loop_
_atom_site_label
_atom_site_fract_x
_atom_site_fract_y
_atom_site_fract_z
_atom_site_occupancy
Li1 0.0000 0.0000 0.2500 1
Li2 0.1709 0.3561 0.0000 1
Li3 0.2503 0.0000 0.2500 1
Pr1 0.0938 0.2705 0.5000 1
Mg1 0.0000 0.5000 0.2500 1
Mg2 0.1463 0.1510 0.0000 1



(8)
# Li3PrMg2, optimized geometry, DFT GGA-PBE
# - crystal system = trigonal
# - energy relative to the elements (meV/atom) = 119
data_Li3PrMg2
_chemical_formula_sum 'Li18 Pr6 Mg12'
_space_group_name_H-M_alt 'R -3 m'
_space_group_IT_number 166
_space_group_name_Hall '-R 3 2"'
_cell_length_a 6.6309
_cell_length_b 6.6309
_cell_length_c 23.1529
_cell_angle_alpha 90.00
_cell_angle_beta 90.00
_cell_angle_gamma 120.00
loop_
_atom_site_label
_atom_site_fract_x
_atom_site_fract_y
_atom_site_fract_z
_atom_site_occupancy
Li1 0.0343 0.5172 0.2308 1
Pr1 0.0000 0.0000 0.2086 1
Mg1 0.0000 0.0000 0.0000 1
Mg2 0.0000 0.5000 0.0000 1



(9)
# LiPr2Mg8, optimized geometry, DFT GGA-PBE
# - crystal system = monoclinic
# - energy relative to the elements (meV/atom) = -48
data_LiPr2Mg8
_chemical_formula_sum 'Li2 Pr4 Mg16'
_space_group_name_H-M_alt 'C 1 2/m 1'
_space_group_IT_number 12
_cell_length_a 16.4996
_cell_length_b 5.0393
_cell_length_c 6.8600
_cell_angle_alpha 90.00
_cell_angle_beta 102.39
_cell_angle_gamma 90.00
loop_
_space_group_symop_operation_xyz
'x,y,z'
'-x,-y,-z'
'-x,y,-z'
'x,-y,z'
'x+1/2,y+1/2,z'
'-x+1/2,-y+1/2,-z'
'-x+1/2,y+1/2,-z'
'x+1/2,-y+1/2,z'
loop_
_atom_site_label
_atom_site_fract_x
_atom_site_fract_y
_atom_site_fract_z
_atom_site_occupancy
Li1 0.0000 0.0000 0.0000 1
Pr1 0.2199 0.5000 0.6596 1
Mg1 0.0237 0.5000 0.7315 1
Mg2 0.0871 0.0000 0.4280 1
Mg3 0.1460 0.5000 0.1419 1
Mg4 0.1557 0.0000 0.8806 1



(10)
# Li2Pr4Mg5, optimized geometry, DFT GGA-PBE
# - crystal system = monoclinic
# - energy relative to the elements (meV/atom) = 23
data_Li2Pr4Mg5
_chemical_formula_sum 'Li2 Pr4 Mg5'
_space_group_name_H-M_alt 'P 1 2/m 1'
_space_group_IT_number 10
_cell_length_a 8.3655
_cell_length_b 3.3952
_cell_length_c 10.9531
_cell_angle_alpha 90.00
_cell_angle_beta 94.91
_cell_angle_gamma 90.00
loop_
_space_group_symop_operation_xyz
'x,y,z'
'-x,-y,-z'
'-x,y,-z'
'x,-y,z'
loop_
_atom_site_label
_atom_site_fract_x
_atom_site_fract_y
_atom_site_fract_z
_atom_site_occupancy
Li1 0.0552 0.0000 0.1318 1
Pr1 0.1582 0.5000 0.3869 1
Pr2 0.2866 0.5000 0.9451 1
Mg1 0.2060 0.0000 0.6680 1
Mg2 0.4265 0.0000 0.2122 1
Mg3 0.5000 0.0000 0.5000 1



(11)
# LiPr4Mg2, optimized geometry, DFT GGA-PBE
# - crystal system = trigonal
# - energy relative to the elements (meV/atom) = 149
data_LiPr4Mg2
_chemical_formula_sum 'Li3 Pr12 Mg6'
_space_group_name_H-M_alt 'R -3 m'
_space_group_IT_number 166
_space_group_name_Hall '-R 3 2"'
_cell_length_a 5.4752
_cell_length_b 5.4752
_cell_length_c 26.3873
_cell_angle_alpha 90.00
_cell_angle_beta 90.00
_cell_angle_gamma 120.00
loop_
_atom_site_label
_atom_site_fract_x
_atom_site_fract_y
_atom_site_fract_z
_atom_site_occupancy
Li1 0.0000 0.0000 0.0000 1
Pr1 0.0000 0.0000 0.1288 1
Pr2 0.0000 0.0000 0.3813 1
Mg1 0.0000 0.0000 0.2552 1



(12)
# LiPr5Mg4, optimized geometry, DFT GGA-PBE
# - crystal system = tetragonal
# - energy relative to the elements (meV/atom) = -73
data_LiPr5Mg4
_chemical_formula_sum 'Li1 Pr5 Mg4'
_space_group_name_H-M_alt 'P 4/m m m'
_space_group_IT_number 123
_space_group_name_Hall '-P 4 2'
_cell_length_a 3.9069
_cell_length_b 3.9069
_cell_length_c 19.4928
_cell_angle_alpha 90.00
_cell_angle_beta 90.00
_cell_angle_gamma 90.00
loop_
_atom_site_label
_atom_site_fract_x
_atom_site_fract_y
_atom_site_fract_z
_atom_site_occupancy
Li1 0.0000 0.0000 0.0000 1
Pr1 0.5000 0.5000 0.0995 1
Pr2 0.5000 0.5000 0.2986 1
Pr3 0.5000 0.5000 0.5000 1
Mg1 0.0000 0.0000 0.1986 1
Mg2 0.0000 0.0000 0.3995 1



(13)
# LiPr3Mg2, optimized geometry, DFT GGA-PBE
# - crystal system = tetragonal
# - energy relative to the elements (meV/atom) = -45
data_LiPr3Mg2
_chemical_formula_sum 'Li1 Pr3 Mg2'
_space_group_name_H-M_alt 'P 4/m m m'
_space_group_IT_number 123
_space_group_name_Hall '-P 4 2'
_cell_length_a 3.9097
_cell_length_b 3.9097
_cell_length_c 11.6386
_cell_angle_alpha 90.00
_cell_angle_beta 90.00
_cell_angle_gamma 90.00
loop_
_atom_site_label
_atom_site_fract_x
_atom_site_fract_y
_atom_site_fract_z
_atom_site_occupancy
Li1 0.0000 0.0000 0.0000 1
Pr1 0.5000 0.5000 0.1678 1
Pr2 0.5000 0.5000 0.5000 1
Mg1 0.0000 0.0000 0.3343 1



(14)
# Li2PrMg9, optimized geometry, DFT GGA-PBE
# - crystal system = tetragonal
# - energy relative to the elements (meV/atom) = -54
# - E above lowest polymorph (meV/atom) = 0.0
data_Li2PrMg9
_chemical_formula_sum 'Li8 Pr4 Mg36'
_space_group_name_H-M_alt 'I 41/a m d'
_space_group_IT_number 141
_cell_length_a 12.0779
_cell_length_b 12.0779
_cell_length_c 7.7123
_cell_angle_alpha 90.00
_cell_angle_beta 90.00
_cell_angle_gamma 90.00
loop_
_space_group_symop_operation_xyz
'x,y,z'
'-x,-y,-z'
'-y+1/4,x+3/4,z+1/4'
'y+1/4,-x+3/4,-z+1/4'
'-x+1/2,-y,z+1/2'
'x+1/2,y,-z+1/2'
'y+1/4,-x+1/4,z+3/4'
'-y+1/4,x+1/4,-z+3/4'
'x,-y,-z'
'-x,y,z'
'-y+1/4,-x+1/4,-z+3/4'
'y+1/4,x+1/4,z+3/4'
'-x+1/2,y,-z+1/2'
'x+1/2,-y,z+1/2'
'y+1/4,x+3/4,-z+1/4'
'-y+1/4,-x+3/4,z+1/4'
'x+1/2,y+1/2,z+1/2'
'-x+1/2,-y+1/2,-z+1/2'
'-y+3/4,x+1/4,z+3/4'
'y+3/4,-x+1/4,-z+3/4'
'-x,-y+1/2,z'
'x,y+1/2,-z'
'y+3/4,-x+3/4,z+1/4'
'-y+3/4,x+3/4,-z+1/4'
'x+1/2,-y+1/2,-z+1/2'
'-x+1/2,y+1/2,z+1/2'
'-y+3/4,-x+3/4,-z+1/4'
'y+3/4,x+3/4,z+1/4'
'-x,y+1/2,-z'
'x,-y+1/2,z'
'y+3/4,x+1/4,-z+3/4'
'-y+3/4,-x+1/4,z+3/4'
loop_
_atom_site_label
_atom_site_fract_x
_atom_site_fract_y
_atom_site_fract_z
_atom_site_occupancy
Li1 0.0000 0.0000 0.0000 1
Pr1 0.0000 0.2500 0.3750 1
Mg1 0.0000 0.2500 0.8750 1
Mg2 0.1217 0.0491 0.6793 1



(15)
# LiPr2Mg3, optimized geometry, DFT GGA-PBE
# - crystal system = tetragonal
# - energy relative to the elements (meV/atom) = -66
# - E above lowest polymorph (meV/atom) = 0.0
data_LiPr2Mg3
_chemical_formula_sum 'Li1 Pr2 Mg3'
_space_group_name_H-M_alt 'P 4/m m m'
_space_group_IT_number 123
_space_group_name_Hall '-P 4 2'
_cell_length_a 3.7872
_cell_length_b 3.7872
_cell_length_c 11.4806
_cell_angle_alpha 90.00
_cell_angle_beta 90.00
_cell_angle_gamma 90.00
loop_
_atom_site_label
_atom_site_fract_x
_atom_site_fract_y
_atom_site_fract_z
_atom_site_occupancy
Li1 0.0000 0.0000 0.0000 1
Pr1 0.0000 0.0000 0.3275 1
Mg1 0.5000 0.5000 0.1409 1
Mg2 0.5000 0.5000 0.5000 1



(16)
# Li3Pr2Mg5, optimized geometry, DFT GGA-PBE
# - crystal system = orthorhombic
# - energy relative to the elements (meV/atom) = -10
data_Li3Pr2Mg5
_chemical_formula_sum 'Li12 Pr8 Mg20'
_space_group_name_H-M_alt 'I b a m'
_space_group_IT_number 72
_space_group_name_Hall '-I 2 2c'
_cell_length_a 10.9927
_cell_length_b 14.9479
_cell_length_c 5.9755
_cell_angle_alpha 90.00
_cell_angle_beta 90.00
_cell_angle_gamma 90.00
loop_
_atom_site_label
_atom_site_fract_x
_atom_site_fract_y
_atom_site_fract_z
_atom_site_occupancy
Li1 0.0000 0.0000 0.2500 1
Li2 0.0780 0.3385 0.0000 1
Pr1 0.2119 0.3362 0.5000 1
Mg1 0.0000 0.1818 0.2500 1
Mg2 0.0000 0.5000 0.2500 1
Mg3 0.2106 0.0578 0.5000 1



(17)
# LiPr2Mg2, optimized geometry, DFT GGA-PBE
# - crystal system = monoclinic
# - energy relative to the elements (meV/atom) = 12
data_LiPr2Mg2
_chemical_formula_sum 'Li2 Pr4 Mg4'
_space_group_name_H-M_alt 'C 1 2/m 1'
_space_group_IT_number 12
_cell_length_a 13.2106
_cell_length_b 3.4807
_cell_length_c 7.2591
_cell_angle_alpha 90.00
_cell_angle_beta 123.31
_cell_angle_gamma 90.00
loop_
_space_group_symop_operation_xyz
'x,y,z'
'-x,-y,-z'
'-x,y,-z'
'x,-y,z'
'x+1/2,y+1/2,z'
'-x+1/2,-y+1/2,-z'
'-x+1/2,y+1/2,-z'
'x+1/2,-y+1/2,z'
loop_
_atom_site_label
_atom_site_fract_x
_atom_site_fract_y
_atom_site_fract_z
_atom_site_occupancy
Li1 0.0000 0.0000 0.0000 1
Pr1 0.2347 0.0000 0.7342 1
Mg1 0.0006 0.5000 0.7034 1



(18)
# LiPrMgRu, optimized geometry, DFT GGA-PBE
# - crystal system = cubic
# - energy relative to the elements (meV/atom) = -29
data_LiPrMgRu
_chemical_formula_sum 'Li4 Pr4 Mg4 Ru4'
_space_group_name_H-M_alt 'F -4 3 m'
_space_group_IT_number 216
_space_group_name_Hall 'F -4 2 3'
_cell_length_a 6.8714
_cell_length_b 6.8714
_cell_length_c 6.8714
_cell_angle_alpha 90.00
_cell_angle_beta 90.00
_cell_angle_gamma 90.00
loop_
_atom_site_label
_atom_site_fract_x
_atom_site_fract_y
_atom_site_fract_z
_atom_site_occupancy
Li1 0.0000 0.0000 0.0000 1
Pr1 0.2500 0.2500 0.2500 1
Mg1 0.2500 0.2500 0.7500 1
Ru1 0.0000 0.0000 0.5000 1



(19)
# LiPrMgSc, optimized geometry, DFT GGA-PBE
# - crystal system = cubic
# - energy relative to the elements (meV/atom) = 60
data_LiPrMgSc
_chemical_formula_sum 'Li4 Pr4 Mg4 Sc4'
_space_group_name_H-M_alt 'F -4 3 m'
_space_group_IT_number 216
_space_group_name_Hall 'F -4 2 3'
_cell_length_a 7.4513
_cell_length_b 7.4513
_cell_length_c 7.4513
_cell_angle_alpha 90.00
_cell_angle_beta 90.00
_cell_angle_gamma 90.00
loop_
_atom_site_label
_atom_site_fract_x
_atom_site_fract_y
_atom_site_fract_z
_atom_site_occupancy
Li1 0.0000 0.0000 0.0000 1
Pr1 0.2500 0.2500 0.2500 1
Mg1 0.0000 0.0000 0.5000 1
Sc1 0.2500 0.2500 0.7500 1



(20)
# Li2Pr2Mg5Sc, optimized geometry, DFT GGA-PBE
# - crystal system = tetragonal
# - energy relative to the elements (meV/atom) = -36
data_Li2Pr2Mg5Sc
_chemical_formula_sum 'Li4 Pr4 Mg10 Sc2'
_space_group_name_H-M_alt 'P 4/m b m'
_space_group_IT_number 127
_space_group_name_Hall '-P 4 2ab'
_cell_length_a 10.7502
_cell_length_b 10.7502
_cell_length_c 4.3257
_cell_angle_alpha 90.00
_cell_angle_beta 90.00
_cell_angle_gamma 90.00
loop_
_atom_site_label
_atom_site_fract_x
_atom_site_fract_y
_atom_site_fract_z
_atom_site_occupancy
Li1 0.1160 0.3840 0.0000 1
Pr1 0.1817 0.6817 0.0000 1
Mg1 0.0000 0.5000 0.5000 1
Mg2 0.0566 0.2067 0.5000 1
Sc1 0.0000 0.0000 0.0000 1